LaGd2Ho | GGA-PBE | optimized geometry

Cell and atoms, written as POSCAR:
```
LaGd2Ho
1.0
-2.253 1.226 -4.432
-4.509 0.249 2.361
0.780 4.941 0.970
Gd La Ho
2 1 1
Direct
0.000 0.500 0.000 Gd
0.000 0.000 0.500 Gd
0.500 0.500 0.500 La
0.500 0.000 0.000 Ho
```

Values from the calculation:
The space-group type is P4/mmm, No. 123. For the energy above the most stable polymorph in this dataset, the calculation gives 0 meV/atom. The total energy comes out at -37.56 eV/cell. Its density of states at the Fermi level is 6.86 states/eV/cell. The calculation puts the formation enthalpy at 0 K at 0.03 eV/atom. Its volume is 33.2 A^3/atom. As for the total magnetization: 14.844 μB per cell.

Li2ZnMo | GGA-PBE | optimized geometry

Cell and atoms, written as POSCAR:
```
Li2ZnMo
1.0
-3.834 7.164 -5.423
-4.806 5.030 -6.858
-6.183 5.953 -4.665
Mo Zn Li
1 1 2
Direct
0.497 0.497 0.497 Mo
0.750 0.750 0.750 Zn
0.004 0.004 0.004 Li
0.249 0.249 0.249 Li
```

Values from the calculation:
The space-group type is R3m, No. 160. The total energy comes out at -15.11 eV/cell. Its density of states at the Fermi level is 4.16 states/eV/cell. The calculation puts the formation enthalpy at 0 K at 0.21 eV/atom. Its volume is 15.8 A^3/atom. As for the total magnetization: 0.002 μB per cell.

ReTcW2 | GGA-PBE | optimized geometry

Cell and atoms, written as POSCAR:
```
ReTcW2
1.0
-3.755 2.524 -1.893
-3.191 1.283 3.496
4.865 0.469 -0.401
W Tc Re
2 1 1
Direct
0.000 0.000 0.000 W
0.250 0.750 0.500 W
0.750 0.250 0.500 Tc
0.500 0.500 0.000 Re
```

Values from the calculation:
The space-group type is I-4m2, No. 119. For the energy above the most stable polymorph in this dataset, the calculation gives 145 meV/atom. The total energy comes out at -47.84 eV/cell. Its density of states at the Fermi level is 3.84 states/eV/cell. The calculation puts the formation enthalpy at 0 K at 0.22 eV/atom. Its volume is 15.6 A^3/atom. As for the total magnetization: 0.000 μB per cell.

Tb2Sm5Tm2 | GGA-PBE | optimized geometry

Cell and atoms, written as POSCAR:
```
Tb2Sm5Tm2
1.0
-0.591 -0.401 -12.797
-2.676 -5.539 0.297
-5.138 6.252 6.460
Sm Tb Tm
10 4 4
Direct
0.457 0.652 0.288 Sm
0.747 0.216 0.096 Sm
0.152 0.620 0.904 Sm
0.928 0.173 0.500 Sm
0.253 0.120 0.904 Sm
0.330 0.152 0.288 Sm
0.543 0.365 0.712 Sm
0.670 0.865 0.712 Sm
0.072 0.673 0.500 Sm
0.848 0.716 0.096 Sm
0.805 0.700 0.500 Tb
0.500 0.579 0.000 Tb
0.195 0.200 0.500 Tb
0.000 0.079 0.000 Tb
0.815 0.379 0.729 Tm
0.587 0.151 0.271 Tm
0.413 0.879 0.729 Tm
0.185 0.651 0.271 Tm
```

Values from the calculation:
The space-group type is Ima2, No. 46. For the energy above the most stable polymorph in this dataset, the calculation gives 157 meV/atom. The total energy comes out at -80.44 eV/cell. Its density of states at the Fermi level is 24.19 states/eV/cell. The calculation puts the formation enthalpy at 0 K at 0.18 eV/atom. Its volume is 33.0 A^3/atom. As for the total magnetization: 0.000 μB per cell.

SmPbC2O6 | GGA-PBE | optimized geometry

Cell and atoms, written as POSCAR:
```
SmPbC2O6
1.0
6.533 0.820 -0.091
0.014 6.584 -0.091
-1.904 -2.153 6.539
O C Sm Pb
12 4 2 2
Direct
0.543 0.280 0.891 O
0.802 0.667 0.929 O
0.198 0.333 0.071 O
0.045 0.610 0.750 O
0.280 0.543 0.391 O
0.457 0.720 0.109 O
0.333 0.198 0.571 O
0.955 0.390 0.250 O
0.720 0.457 0.609 O
0.610 0.045 0.250 O
0.390 0.955 0.750 O
0.667 0.802 0.429 O
0.864 0.579 0.766 C
0.579 0.864 0.266 C
0.421 0.136 0.734 C
0.136 0.421 0.234 C
0.588 0.412 0.250 Sm
0.412 0.588 0.750 Sm
0.956 0.044 0.750 Pb
0.044 0.956 0.250 Pb
```

Values from the calculation:
The space-group type is C2/c, No. 15. The total energy comes out at -149.09 eV/cell. Its density of states at the Fermi level is 2.55 states/eV/cell. Its volume is 13.9 A^3/atom. For the formation energy (no corrections), the calculation gives -173 kJ/mol of atoms. As for the total magnetization: 0.000 μB per cell.

Ac6Ni2AsI3 | GGA-PBE | optimized geometry

Cell and atoms, written as POSCAR:
```
Ac6Ni2AsI3
1.0
7.743 0.002 0.001
-3.868 6.707 0.001
-1.292 -2.236 8.370
Ni I Ac As
2 3 6 1
Direct
0.333 0.667 0.000 Ni
0.667 0.333 0.000 Ni
0.161 0.839 0.500 I
0.839 0.161 0.500 I
0.500 0.500 0.500 I
0.712 0.712 0.188 Ac
0.415 0.064 0.189 Ac
0.936 0.585 0.811 Ac
0.288 0.288 0.812 Ac
0.585 0.936 0.811 Ac
0.064 0.415 0.189 Ac
0.000 0.000 0.000 As
```

Values from the calculation:
The space-group type is C2/m, No. 12. The total energy comes out at -55.94 eV/cell. Its density of states at the Fermi level is 11.22 states/eV/cell. Its volume is 36.2 A^3/atom. For the formation energy (no corrections), the calculation gives -84 kJ/mol of atoms. As for the total magnetization: 0.004 μB per cell.

GeBi3Sb | GGA-PBE | optimized geometry

Cell and atoms, written as POSCAR:
```
GeBi3Sb
1.0
5.816 0.000 0.000
0.000 5.816 0.000
0.000 0.000 5.816
Bi Ge Sb
3 1 1
Direct
0.000 0.000 0.500 Bi
0.500 0.000 0.000 Bi
0.000 0.500 0.000 Bi
0.500 0.500 0.500 Ge
0.000 0.000 0.000 Sb
```

Values from the calculation:
The space-group type is Pm-3m, No. 221. For the energy above the most stable polymorph in this dataset, the calculation gives 324 meV/atom. The total energy comes out at -15.72 eV/cell. Its density of states at the Fermi level is 9.06 states/eV/cell. Its volume is 39.3 A^3/atom. For the formation energy (no corrections), the calculation gives 90 kJ/mol of atoms. As for the total magnetization: 0.000 μB per cell.

AlSbTe | GGA-PBE | optimized geometry

Cell and atoms, written as POSCAR:
```
AlSbTe
1.0
-2.581 1.378 -2.190
-1.560 -5.512 -4.048
-7.127 -0.515 5.041
Sb Te Al
2 2 2
Direct
0.379 0.200 0.080 Sb
0.621 0.800 0.920 Sb
0.913 0.751 0.372 Te
0.087 0.249 0.628 Te
0.680 0.973 0.663 Al
0.320 0.027 0.337 Al
```

Values from the calculation:
The space-group type is P-1, No. 2. For the energy above the most stable polymorph in this dataset, the calculation gives 0 meV/atom. The total energy comes out at -22.86 eV/cell. Its density of states at the Fermi level is 1.26 states/eV/cell. Its volume is 35.3 A^3/atom. For the formation energy (no corrections), the calculation gives -14 kJ/mol of atoms. As for the total magnetization: 0.000 μB per cell.

LaMgPRh2 | GGA-PBE | optimized geometry

Cell and atoms, written as POSCAR:
```
LaMgPRh2
1.0
-0.133 -3.806 -1.790
1.894 1.317 -2.941
4.224 -0.180 5.015
Rh P La Mg
2 1 1 1
Direct
0.029 0.029 0.059 Rh
0.709 0.209 0.419 Rh
0.830 0.830 0.661 P
0.449 0.449 0.899 La
0.194 0.694 0.388 Mg
```

Values from the calculation:
The space-group type is Imm2, No. 44. The total energy comes out at -30.89 eV/cell. Its density of states at the Fermi level is 3.81 states/eV/cell. The calculation puts the formation enthalpy at 0 K at -0.85 eV/atom. Its volume is 18.6 A^3/atom. As for the total magnetization: 0.000 μB per cell.

TaTl3Ag | GGA-PBE | optimized geometry

Cell and atoms, written as POSCAR:
```
TaTl3Ag
1.0
5.367 0.000 0.000
0.000 5.367 0.000
0.000 0.000 5.367
Tl Ag Ta
3 1 1
Direct
0.000 0.500 0.000 Tl
0.000 0.000 0.500 Tl
0.500 0.000 0.000 Tl
0.000 0.000 0.000 Ag
0.500 0.500 0.500 Ta
```

Values from the calculation:
The space-group type is Pm-3m, No. 221. For the energy above the most stable polymorph in this dataset, the calculation gives 412 meV/atom. The total energy comes out at -15.29 eV/cell. Its density of states at the Fermi level is 8.81 states/eV/cell. The calculation puts the formation enthalpy at 0 K at 1.30 eV/atom. Its volume is 30.9 A^3/atom. As for the total magnetization: 2.808 μB per cell.

TePbW2 | GGA-PBE | optimized geometry

Cell and atoms, written as POSCAR:
```
TePbW2
1.0
4.677 0.001 0.021
3.548 3.047 0.021
0.886 0.328 7.252
Te Pb W
1 1 2
Direct
0.272 0.272 0.146 Te
0.484 0.484 0.579 Pb
0.735 0.735 0.833 W
0.009 0.009 0.941 W
```

Values from the calculation:
The space-group type is Cm, No. 8. For the energy above the most stable polymorph in this dataset, the calculation gives 214 meV/atom. The total energy comes out at -30.17 eV/cell. Its density of states at the Fermi level is 1.62 states/eV/cell. Its volume is 25.8 A^3/atom. For the formation energy (no corrections), the calculation gives 62 kJ/mol of atoms. As for the total magnetization: 0.000 μB per cell.

Na2BRu | GGA-PBE | optimized geometry

Cell and atoms, written as POSCAR:
```
Na2BRu
1.0
-3.799 5.834 -6.890
-4.975 -7.591 -3.685
-5.907 -0.461 -4.095
Na B Ru
4 2 2
Direct
0.279 0.625 0.250 Na
0.875 0.721 0.750 Na
0.375 0.529 0.750 Na
0.471 0.125 0.250 Na
0.250 0.750 0.500 B
0.500 0.500 0.000 B
0.000 0.000 0.000 Ru
0.750 0.250 0.500 Ru
```

Values from the calculation:
The space-group type is I-42d, No. 122. The total energy comes out at -30.85 eV/cell. Its density of states at the Fermi level is 3.91 states/eV/cell. The calculation puts the formation enthalpy at 0 K at 0.79 eV/atom. Its volume is 23.7 A^3/atom. As for the total magnetization: 2.006 μB per cell.

volume of number 5 (SmPbC2O6)? 13.9 A^3/atom